# 1
# PBE YHg2I, relaxed
# Uncorrected energy   -2.64 eV per atom
# ΔE_f (raw)   -11.14 kcal/mol of atoms
data_YHg2I
_chemical_formula_sum 'Y4 Hg8 I4'
_cell_length_a 17.233
_cell_length_b 4.145
_cell_length_c 8.309
_cell_angle_alpha 90.00
_cell_angle_beta 117.62
_cell_angle_gamma 90.00
_space_group_name_H-M_alt 'C 1 m 1'
_space_group_IT_number 8
loop_
_space_group_symop_operation_xyz
'x,y,z'
'x,-y,z'
'x+1/2,y+1/2,z'
'x+1/2,-y+1/2,z'
loop_
_atom_site_label
_atom_site_fract_x
_atom_site_fract_y
_atom_site_fract_z
Y1 0.000 0.000 0.000
Y2 0.224 0.500 0.874
Hg1 0.112 0.500 0.279
Hg2 0.134 0.000 0.557
Hg3 0.209 0.000 0.149
Hg4 0.384 0.000 0.098
I1 0.021 0.500 0.737
I2 0.320 0.500 0.647

=====

# 2
# PBE LaDyTh2Se4, relaxed
# Uncorrected energy   -6.48 eV per atom
# ΔE_f (raw)   -38.96 kcal/mol of atoms
data_LaDyTh2Se4
_chemical_formula_sum 'La1 Dy1 Th2 Se4'
_cell_length_a 7.171
_cell_length_b 4.187
_cell_length_c 7.388
_cell_angle_alpha 90.00
_cell_angle_beta 109.20
_cell_angle_gamma 90.00
_space_group_name_H-M_alt 'P 1 2/m 1'
_space_group_IT_number 10
loop_
_space_group_symop_operation_xyz
'x,y,z'
'-x,-y,-z'
'-x,y,-z'
'x,-y,z'
loop_
_atom_site_label
_atom_site_fract_x
_atom_site_fract_y
_atom_site_fract_z
La1 0.000 0.000 0.000
Dy1 0.500 0.500 0.000
Th1 0.000 0.500 0.500
Th2 0.500 0.000 0.500
Se1 0.258 0.500 0.247
Se2 0.261 0.000 0.759